Density functional theory data (PBE-GGA) for a geometry-optimized Sr2FePtS6 structure.

The structure belongs to space group C2/m (No. 12); the cell edges are 11.641, 6.259 and 7.150 Å and the angles 90.00°, 127.41° and 90.00°. The distinct sites, in fractional coordinates, are Sr at (0.248, 0.000, 0.242), Fe at (0.000, 0.000, 0.500), Pt at (0.000, 0.500, 0.000), S at (0.053, 0.254, 0.310) and S at (0.245, 0.000, 0.831).

For the electronic total energy, the calculation gives -100.87 eV for the cell shown.

Density functional theory data (PBE-GGA) for a geometry-optimized Sr2FePtS6 structure.

The structure belongs to space group P-1 (No. 2); the cell edges are 6.254, 6.325 and 6.417 Å and the angles 65.57°, 67.36° and 67.06°. The distinct sites, in fractional coordinates, are Sr at (0.244, 0.250, 0.249), Fe at (0.500, 0.500, 0.500), Pt at (0.000, 0.000, 0.000), S at (0.168, 0.737, 0.336), S at (0.255, 0.672, 0.828) and S at (0.341, 0.171, 0.755).

For the electronic total energy, the calculation gives -50.57 eV for the cell shown.

Among the records above, which one has the highest electronic total energy? number 2